1.
DFT (PBE) results for an optimized crystal structure of TiVZn2Br.

Structure (CIF):
```
data_TiVZn2Br
_chemical_formula_sum 'Ti1 V1 Zn2 Br1'
_cell_length_a 5.0200
_cell_length_b 5.0200
_cell_length_c 4.4301
_cell_angle_alpha 90.00
_cell_angle_beta 90.00
_cell_angle_gamma 90.00
_symmetry_space_group_name_H-M 'P 4/m m m'
_symmetry_Int_Tables_number 123
_symmetry_space_group_name_Hall '-P 4 2'
loop_
_atom_site_label
_atom_site_type_symbol
_atom_site_fract_x
_atom_site_fract_y
_atom_site_fract_z
Ti1 Ti 0.0000 0.0000 0.0000
V1 V 0.0000 0.0000 0.5000
Zn1 Zn 0.0000 0.5000 0.5000
Br1 Br 0.5000 0.5000 0.0000
```

Summary:
Uncorrected formation energy (eV per atom): 0.664
Total DFT energy (no corrections) (eV/atom): -3.58
Calculated volume (Å³ per cell): 112

2.
DFT (PBE) results for an optimized crystal structure of LiMgMn2.

Structure (CIF):
```
data_LiMgMn2
_chemical_formula_sum 'Li1 Mg1 Mn2'
_cell_length_a 2.8219
_cell_length_b 4.1274
_cell_length_c 5.5882
_cell_angle_alpha 90.00
_cell_angle_beta 90.00
_cell_angle_gamma 90.00
_symmetry_space_group_name_H-M 'P m m m'
_symmetry_Int_Tables_number 47
loop_
_symmetry_equiv_pos_as_xyz
'x,y,z'
'-x,-y,-z'
'-x,-y,z'
'x,y,-z'
'x,-y,-z'
'-x,y,z'
'-x,y,-z'
'x,-y,z'
loop_
_atom_site_label
_atom_site_type_symbol
_atom_site_fract_x
_atom_site_fract_y
_atom_site_fract_z
Li1 Li 0.0000 0.0000 0.0000
Mg1 Mg 0.0000 0.0000 0.5000
Mn1 Mn 0.5000 0.5000 0.2456
```

Summary:
Formation enthalpy at 0 K (eV per atom): 0.403
Total DFT energy (no corrections) (eV/atom): -5.06
Calculated volume (Å³ per cell): 65